(1)
# Pt2PbBr GGA-PBEsol relaxed
data_Pt2PbBr
_chemical_formula_sum 'Pt2 Pb1 Br1'
_cell_length_a 4.437
_cell_length_b 3.507
_cell_length_c 5.161
_cell_angle_alpha 90.00
_cell_angle_beta 106.18
_cell_angle_gamma 90.00
_symmetry_space_group_name_H-M 'P 1 2/m 1'
_symmetry_Int_Tables_number 10
_symmetry_space_group_name_Hall '-P 2y'
loop_
_atom_site_label
_atom_site_fract_x
_atom_site_fract_y
_atom_site_fract_z
Pt1 0.000 0.000 0.000
Pt2 0.000 0.500 0.500
Pb1 0.500 0.000 0.500
Br1 0.500 0.500 0.000
# Raw formation energy ... 343 meV/atom



(2)
# GaNiIrS2 GGA-PBEsol relaxed
data_GaNiIrS2
_chemical_formula_sum 'Ga1 Ni1 Ir1 S2'
_cell_length_a 4.564
_cell_length_b 4.564
_cell_length_c 4.631
_cell_angle_alpha 90.00
_cell_angle_beta 90.00
_cell_angle_gamma 90.00
_symmetry_space_group_name_H-M 'P 4/m m m'
_symmetry_Int_Tables_number 123
_symmetry_space_group_name_Hall '-P 4 2'
loop_
_atom_site_label
_atom_site_fract_x
_atom_site_fract_y
_atom_site_fract_z
Ga1 0.000 0.000 0.000
Ni1 0.500 0.500 0.000
Ir1 0.500 0.500 0.500
S1 0.000 0.500 0.500
# Raw formation energy ... 572 meV/atom



(3)
# Li4Fe3Co3Sb2O16 GGA-PBEsol relaxed
data_Li4Fe3Co3Sb2O16
_chemical_formula_sum 'Li8 Fe6 Co6 Sb4 O32'
_cell_length_a 9.896
_cell_length_b 5.665
_cell_length_c 9.381
_cell_angle_alpha 90.00
_cell_angle_beta 90.41
_cell_angle_gamma 90.00
_symmetry_space_group_name_H-M 'C 1 m 1'
_symmetry_Int_Tables_number 8
_symmetry_space_group_name_Hall 'C -2y'
loop_
_atom_site_label
_atom_site_fract_x
_atom_site_fract_y
_atom_site_fract_z
Li1 0.000 0.000 0.000
Li2 0.001 0.000 0.498
Li3 0.169 0.500 0.407
Li4 0.335 0.000 0.904
Fe1 0.330 0.500 0.723
Fe2 0.415 0.237 0.222
Co1 0.085 0.255 0.722
Co2 0.168 0.000 0.221
Sb1 0.167 0.500 0.997
Sb2 0.332 0.000 0.500
O1 0.017 0.500 0.839
O2 0.078 0.241 0.106
O3 0.158 0.000 0.607
O4 0.169 0.500 0.620
O5 0.242 0.273 0.840
O6 0.259 0.225 0.339
O7 0.330 0.000 0.115
O8 0.342 0.500 0.106
O9 0.421 0.263 0.607
O10 0.485 0.000 0.346
O11 0.498 0.500 0.309
O12 0.499 0.500 0.812
# Raw formation energy ... -1471 meV/atom



(4)
# Si2TeRh2 GGA-PBEsol relaxed
data_Si2TeRh2
_chemical_formula_sum 'Si4 Te2 Rh4'
_cell_length_a 3.672
_cell_length_b 3.672
_cell_length_c 12.176
_cell_angle_alpha 90.00
_cell_angle_beta 90.00
_cell_angle_gamma 90.00
_symmetry_space_group_name_H-M 'I 4/m m m'
_symmetry_Int_Tables_number 139
_symmetry_space_group_name_Hall '-I 4 2'
loop_
_atom_site_label
_atom_site_fract_x
_atom_site_fract_y
_atom_site_fract_z
Si1 0.000 0.500 0.250
Te1 0.000 0.000 0.000
Rh1 0.000 0.000 0.371
# Raw formation energy ... -536 meV/atom



(5)
# ZrBe2Nb GGA-PBEsol relaxed
data_ZrBe2Nb
_chemical_formula_sum 'Zr4 Be8 Nb4'
_cell_length_a 6.111
_cell_length_b 6.111
_cell_length_c 6.111
_cell_angle_alpha 90.00
_cell_angle_beta 90.00
_cell_angle_gamma 90.00
_symmetry_space_group_name_H-M 'F m -3 m'
_symmetry_Int_Tables_number 225
_symmetry_space_group_name_Hall '-F 4 2 3'
loop_
_atom_site_label
_atom_site_fract_x
_atom_site_fract_y
_atom_site_fract_z
Zr1 0.000 0.000 0.000
Be1 0.250 0.250 0.250
Nb1 0.000 0.000 0.500
# Calculated formation energy ... 25 meV per atom



(6)
# Hg2OsWO GGA-PBEsol relaxed
data_Hg2OsWO
_chemical_formula_sum 'Hg2 Os1 W1 O1'
_cell_length_a 5.260
_cell_length_b 5.260
_cell_length_c 3.574
_cell_angle_alpha 90.00
_cell_angle_beta 90.00
_cell_angle_gamma 90.00
_symmetry_space_group_name_H-M 'P 4/m m m'
_symmetry_Int_Tables_number 123
_symmetry_space_group_name_Hall '-P 4 2'
loop_
_atom_site_label
_atom_site_fract_x
_atom_site_fract_y
_atom_site_fract_z
Hg1 0.000 0.500 0.000
Os1 0.000 0.000 0.000
W1 0.500 0.500 0.500
O1 0.000 0.000 0.500
# Raw formation energy ... 1110 meV/atom



(7)
# TiCoSi GGA-PBEsol relaxed
data_TiCoSi
_chemical_formula_sum 'Ti3 Co3 Si3'
_cell_length_a 5.9511
_cell_length_b 5.9511
_cell_length_c 3.6839
_cell_angle_alpha 90.00
_cell_angle_beta 90.00
_cell_angle_gamma 120.00
_symmetry_space_group_name_H-M 'P -6 2 m'
_symmetry_Int_Tables_number 189
_symmetry_space_group_name_Hall 'P -6 -2'
loop_
_atom_site_label
_atom_site_fract_x
_atom_site_fract_y
_atom_site_fract_z
Ti1 0.0000 0.4351 0.0000
Co1 0.0000 0.7578 0.5000
Si1 0.0000 0.0000 0.0000
Si2 0.3333 0.6667 0.5000
# Raw formation energy ... -853 meV/atom



(8)
# Ba3Pt2 GGA-PBEsol relaxed
data_Ba3Pt2
_chemical_formula_sum 'Ba9 Pt6'
_cell_length_a 4.5230
_cell_length_b 4.5230
_cell_length_c 32.9888
_cell_angle_alpha 90.00
_cell_angle_beta 90.00
_cell_angle_gamma 120.00
_symmetry_space_group_name_H-M 'R -3 m'
_symmetry_Int_Tables_number 166
_symmetry_space_group_name_Hall '-R 3 2"'
loop_
_atom_site_label
_atom_site_fract_x
_atom_site_fract_y
_atom_site_fract_z
Ba1 0.0000 0.0000 0.0000
Ba2 0.0000 0.0000 0.2289
Pt1 0.0000 0.0000 0.3898
# Calculated formation energy ... -524 meV per atom



(9)
# Ca2CrPb GGA-PBEsol relaxed
data_Ca2CrPb
_chemical_formula_sum 'Ca6 Cr3 Pb3'
_cell_length_a 3.5809
_cell_length_b 3.5809
_cell_length_c 30.5597
_cell_angle_alpha 90.00
_cell_angle_beta 90.00
_cell_angle_gamma 120.00
_symmetry_space_group_name_H-M 'R -3 m'
_symmetry_Int_Tables_number 166
_symmetry_space_group_name_Hall '-R 3 2"'
loop_
_atom_site_label
_atom_site_fract_x
_atom_site_fract_y
_atom_site_fract_z
Ca1 0.0000 0.0000 0.2478
Cr1 0.0000 0.0000 0.5000
Pb1 0.0000 0.0000 0.0000
# Calculated formation energy ... 353 meV per atom



(10)
# Co2AsW GGA-PBEsol relaxed
data_Co2AsW
_chemical_formula_sum 'Co2 As1 W1'
_cell_length_a 2.744
_cell_length_b 3.247
_cell_length_c 5.609
_cell_angle_alpha 90.00
_cell_angle_beta 90.00
_cell_angle_gamma 90.00
_symmetry_space_group_name_H-M 'P m m 2'
_symmetry_Int_Tables_number 25
_symmetry_space_group_name_Hall 'P 2 -2'
loop_
_atom_site_label
_atom_site_fract_x
_atom_site_fract_y
_atom_site_fract_z
Co1 0.000 0.000 0.000
Co2 0.500 0.500 0.246
As1 0.500 0.500 0.807
W1 0.000 0.000 0.480
# Calculated formation energy ... 140 meV per atom



(11)
# Na2LaP GGA-PBEsol relaxed
data_Na2LaP
_chemical_formula_sum 'Na8 La4 P4'
_cell_length_a 4.217
_cell_length_b 4.217
_cell_length_c 24.972
_cell_angle_alpha 90.00
_cell_angle_beta 90.00
_cell_angle_gamma 90.00
_symmetry_space_group_name_H-M 'I -4 2 d'
_symmetry_Int_Tables_number 122
_symmetry_space_group_name_Hall 'I -4 2bw'
loop_
_atom_site_label
_atom_site_fract_x
_atom_site_fract_y
_atom_site_fract_z
Na1 0.222 0.250 0.125
La1 0.000 0.000 0.500
P1 0.000 0.000 0.000
# Calculated formation energy ... -356 meV per atom



(12)
# ScCd5 GGA-PBEsol relaxed
data_ScCd5
_chemical_formula_sum 'Sc1 Cd5'
_cell_length_a 3.153
_cell_length_b 3.153
_cell_length_c 12.402
_cell_angle_alpha 90.00
_cell_angle_beta 90.00
_cell_angle_gamma 90.00
_symmetry_space_group_name_H-M 'P 4/m m m'
_symmetry_Int_Tables_number 123
_symmetry_space_group_name_Hall '-P 4 2'
loop_
_atom_site_label
_atom_site_fract_x
_atom_site_fract_y
_atom_site_fract_z
Sc1 0.000 0.000 0.000
Cd1 0.000 0.000 0.333
Cd2 0.500 0.500 0.168
Cd3 0.500 0.500 0.500
# Calculated formation energy ... -118 meV per atom



(13)
# Zn3TcSb GGA-PBEsol relaxed
data_Zn3TcSb
_chemical_formula_sum 'Zn3 Tc1 Sb1'
_cell_length_a 4.992
_cell_length_b 4.992
_cell_length_c 4.992
_cell_angle_alpha 90.00
_cell_angle_beta 90.00
_cell_angle_gamma 90.00
_symmetry_space_group_name_H-M 'P m -3 m'
_symmetry_Int_Tables_number 221
_symmetry_space_group_name_Hall '-P 4 2 3'
loop_
_atom_site_label
_atom_site_fract_x
_atom_site_fract_y
_atom_site_fract_z
Zn1 0.000 0.000 0.500
Tc1 0.500 0.500 0.500
Sb1 0.000 0.000 0.000
# Raw formation energy ... 1546 meV/atom



(14)
# SrLiAs2 GGA-PBEsol relaxed
data_SrLiAs2
_chemical_formula_sum 'Sr2 Li2 As4'
_cell_length_a 4.510
_cell_length_b 4.510
_cell_length_c 8.511
_cell_angle_alpha 90.00
_cell_angle_beta 90.00
_cell_angle_gamma 90.00
_symmetry_space_group_name_H-M 'I 4/m m m'
_symmetry_Int_Tables_number 139
_symmetry_space_group_name_Hall '-I 4 2'
loop_
_atom_site_label
_atom_site_fract_x
_atom_site_fract_y
_atom_site_fract_z
Sr1 0.000 0.000 0.000
Li1 0.000 0.000 0.500
As1 0.000 0.500 0.250
# Calculated formation energy ... -599 meV per atom



(15)
# Tl2GeB GGA-PBEsol relaxed
data_Tl2GeB
_chemical_formula_sum 'Tl8 Ge4 B4'
_cell_length_a 6.936
_cell_length_b 6.936
_cell_length_c 6.936
_cell_angle_alpha 90.00
_cell_angle_beta 90.00
_cell_angle_gamma 90.00
_symmetry_space_group_name_H-M 'F m -3 m'
_symmetry_Int_Tables_number 225
_symmetry_space_group_name_Hall '-F 4 2 3'
loop_
_atom_site_label
_atom_site_fract_x
_atom_site_fract_y
_atom_site_fract_z
Tl1 0.250 0.250 0.250
Ge1 0.000 0.000 0.000
B1 0.000 0.000 0.500
# Calculated formation energy ... 1049 meV per atom



(16)
# Zr2NbCuNi GGA-PBEsol relaxed
data_Zr2NbCuNi
_chemical_formula_sum 'Zr2 Nb1 Cu1 Ni1'
_cell_length_a 4.745
_cell_length_b 4.745
_cell_length_c 4.543
_cell_angle_alpha 90.00
_cell_angle_beta 90.00
_cell_angle_gamma 90.00
_symmetry_space_group_name_H-M 'P 4/m m m'
_symmetry_Int_Tables_number 123
_symmetry_space_group_name_Hall '-P 4 2'
loop_
_atom_site_label
_atom_site_fract_x
_atom_site_fract_y
_atom_site_fract_z
Zr1 0.000 0.500 0.000
Nb1 0.000 0.000 0.500
Cu1 0.500 0.500 0.500
Ni1 0.000 0.000 0.000
# Calculated formation energy ... 660 meV per atom



(17)
# CsLa2TaPd GGA-PBEsol relaxed
data_CsLa2TaPd
_chemical_formula_sum 'Cs1 La2 Ta1 Pd1'
_cell_length_a 5.744
_cell_length_b 5.744
_cell_length_c 4.877
_cell_angle_alpha 90.00
_cell_angle_beta 90.00
_cell_angle_gamma 90.00
_symmetry_space_group_name_H-M 'P 4/m m m'
_symmetry_Int_Tables_number 123
_symmetry_space_group_name_Hall '-P 4 2'
loop_
_atom_site_label
_atom_site_fract_x
_atom_site_fract_y
_atom_site_fract_z
Cs1 0.000 0.000 0.000
La1 0.000 0.500 0.000
Ta1 0.500 0.500 0.500
Pd1 0.000 0.000 0.500
# Calculated formation energy ... 1683 meV per atom



(18)
# Ag2SnAu2 GGA-PBEsol relaxed
data_Ag2SnAu2
_chemical_formula_sum 'Ag4 Sn2 Au4'
_cell_length_a 7.351
_cell_length_b 7.351
_cell_length_c 3.471
_cell_angle_alpha 90.00
_cell_angle_beta 90.00
_cell_angle_gamma 90.00
_symmetry_space_group_name_H-M 'P 4/m b m'
_symmetry_Int_Tables_number 127
_symmetry_space_group_name_Hall '-P 4 2ab'
loop_
_atom_site_label
_atom_site_fract_x
_atom_site_fract_y
_atom_site_fract_z
Ag1 0.159 0.341 0.000
Sn1 0.000 0.000 0.500
Au1 0.138 0.638 0.500
# Calculated formation energy ... -26 meV per atom



(19)
# YSb2TeOs GGA-PBEsol relaxed
data_YSb2TeOs
_chemical_formula_sum 'Y1 Sb2 Te1 Os1'
_cell_length_a 5.628
_cell_length_b 5.628
_cell_length_c 5.517
_cell_angle_alpha 90.00
_cell_angle_beta 90.00
_cell_angle_gamma 90.00
_symmetry_space_group_name_H-M 'P 4/m m m'
_symmetry_Int_Tables_number 123
_symmetry_space_group_name_Hall '-P 4 2'
loop_
_atom_site_label
_atom_site_fract_x
_atom_site_fract_y
_atom_site_fract_z
Y1 0.000 0.000 0.000
Sb1 0.000 0.500 0.000
Te1 0.000 0.000 0.500
Os1 0.500 0.500 0.500
# Raw formation energy ... 1621 meV/atom



(20)
# TeWCl2 GGA-PBEsol relaxed
data_TeWCl2
_chemical_formula_sum 'Te3 W3 Cl6'
_cell_length_a 3.0811
_cell_length_b 3.0811
_cell_length_c 30.8306
_cell_angle_alpha 90.00
_cell_angle_beta 90.00
_cell_angle_gamma 120.00
_symmetry_space_group_name_H-M 'R -3 m'
_symmetry_Int_Tables_number 166
_symmetry_space_group_name_Hall '-R 3 2"'
loop_
_atom_site_label
_atom_site_fract_x
_atom_site_fract_y
_atom_site_fract_z
Te1 0.0000 0.0000 0.0000
W1 0.0000 0.0000 0.5000
Cl1 0.0000 0.0000 0.2225
# Raw formation energy ... -100 meV/atom



Number 1: total magnetic moment 0.000 μB per atom, DOS(E_F) 0.441 states/eV/atom. Number 2: total magnetic moment 0.250 μB per atom, DOS(E_F) 1.169 states/eV/atom. Number 3: total magnetic moment 0.107 μB per atom, DOS(E_F) 0.387 states/eV/atom. Number 4: total magnetic moment 0.000 μB per atom, DOS(E_F) 0.241 states/eV/atom. Number 5: total magnetic moment 0.000 μB per atom, DOS(E_F) 0.920 states/eV/atom. Number 6: total magnetic moment 0.635 μB per atom, DOS(E_F) 0.953 states/eV/atom. Number 7: total magnetic moment 0.001 μB per atom, DOS(E_F) 0.734 states/eV/atom. Number 8: total magnetic moment 0.000 μB per atom, DOS(E_F) 0.343 states/eV/atom. Number 9: total magnetic moment 1.076 μB per atom, DOS(E_F) 0.804 states/eV/atom. Number 10: total magnetic moment 0.008 μB per atom, DOS(E_F) 1.120 states/eV/atom. Number 11: total magnetic moment 0.000 μB per atom, DOS(E_F) 0.608 states/eV/atom. Number 12: total magnetic moment 0.071 μB per atom, DOS(E_F) 0.492 states/eV/atom. Number 13: total magnetic moment 0.747 μB per atom, DOS(E_F) 0.753 states/eV/atom. Number 14: total magnetic moment 0.000 μB per atom, DOS(E_F) 0.352 states/eV/atom. Number 15: total magnetic moment 0.000 μB per atom, DOS(E_F) 0.335 states/eV/atom. Number 16: total magnetic moment 0.000 μB per atom, DOS(E_F) 1.354 states/eV/atom. Number 17: total magnetic moment 0.586 μB per atom, DOS(E_F) 0.904 states/eV/atom. Number 18: total magnetic moment 0.000 μB per atom, DOS(E_F) 0.258 states/eV/atom. Number 19: total magnetic moment 0.646 μB per atom, DOS(E_F) 1.606 states/eV/atom. Number 20: total magnetic moment 0.000 μB per atom, DOS(E_F) 0.354 states/eV/atom.